Here is a geometry-optimized CoCuN2F structure from Alexandria via LeMat-Bulk. Energies are from PBE+U.

Calculated values
**Electronic total energy**: -4.50 eV/atom

```
data_CoCuN2F
_chemical_formula_sum 'Co1 Cu1 N2 F1'
_symmetry_space_group_name_H-M 'P 1'
_symmetry_Int_Tables_number 1
_symmetry_space_group_name_Hall 'P 1'
_cell_length_a 3.664
_cell_length_b 3.664
_cell_length_c 4.226
_cell_angle_alpha 90.00
_cell_angle_beta 90.00
_cell_angle_gamma 90.00
loop_
_atom_site_label
_atom_site_fract_x
_atom_site_fract_y
_atom_site_fract_z
Cu1 0.000 0.000 0.000
F1 0.000 0.000 0.500
N1 0.500 0.000 0.000
Co1 0.500 0.500 0.500
N2 0.000 0.500 0.000
```